This record from the Alexandria database describes an optimized crystal structure of Co3GeOs. The functional is PBE.

The structure belongs to space group Pm-3m (No. 221); the cell edges are 4.469, 4.469 and 4.469 Å and the angles 90.00°, 90.00° and 90.00°. The inequivalent atoms are Co at (0.000, 0.000, 0.500), Ge at (0.500, 0.500, 0.500) and Os at (0.000, 0.000, 0.000).

The formation energy is 1.45 eV per atom. The total energy comes out at -29.9 eV for the cell shown. The calculation puts the offset from the most stable computed form at 154 meV per atom. The calculation puts the volume at 89 Å³/cell.